#one
This record from Alexandria describes Mn2NiW after structural relaxation. The functional is GGA-PBE.

Cell: 4.5224 4.5224 4.5224 Å, 131.68 131.68 70.73°
Closest atoms and distances in Å follow each position.
Positions (direct):
Mn 0.2500 0.7500 0.5000  4 W 2.61, 4 Ni 2.61, 4 Mn 2.62
Mn 0.7500 0.2500 0.5000  4 W 2.61, 4 Ni 2.61, 4 Mn 2.62
Ni 0.0000 0.0000 0.0000  8 Mn 2.61, 4 W 2.62
W 0.5000 0.5000 0.0000  8 Mn 2.61, 4 Ni 2.62

Output
Calculated volume in Å³ per cell: 51

***

#two
This record from Alexandria describes Mn2NiW after structural relaxation. The functional is GGA-PBE.

Cell: 2.6151 2.6151 7.6771 Å, 90.00 90.00 100.70°
Closest atoms and distances in Å follow each position.
Positions (direct):
Mn 0.0000 0.0000 0.2323  4 Ni 2.44-2.69, 4 Mn 2.62, 2 W 2.65
Mn 0.0000 0.0000 0.7677  4 Ni 2.44-2.69, 4 Mn 2.62, 2 W 2.65
Ni 0.5000 0.5000 0.0000  8 Mn 2.44-2.69, 4 Ni 2.62
W 0.5000 0.5000 0.5000  4 W 2.62, 8 Mn 2.65-2.88

Output
Calculated volume in Å³ per cell: 52

***

#three
This record from Alexandria describes Mn2NiW after structural relaxation. The functional is GGA-PBE.

Cell: 5.2990 5.2990 5.2990 Å, 103.57 103.57 122.05°
Closest atoms and distances in Å follow each position.
Positions (direct):
Mn 0.1144 0.6250 0.9894  2 Ni 2.36, 2 W 2.45, 2 Mn 2.57
Mn 0.3750 0.3644 0.4894  2 Ni 2.36, 2 W 2.45, 2 Mn 2.57
Mn 0.6356 0.1250 0.0106  2 Ni 2.36, 2 W 2.45, 2 Mn 2.57
Mn 0.8750 0.8856 0.5106  2 Ni 2.36, 2 W 2.45, 2 Mn 2.57
Ni 0.0000 0.0000 0.0000  4 Mn 2.36, 2 W 2.57
Ni 0.7500 0.2500 0.5000  4 Mn 2.36, 2 W 2.57
W 0.2500 0.7500 0.5000  4 Mn 2.45, 2 Ni 2.57
W 0.5000 0.5000 0.0000  4 Mn 2.45, 2 Ni 2.57

Output
Calculated volume in Å³ per cell: 110

***

#four
This record from Alexandria describes Mn2NiW after structural relaxation. The functional is GGA-PBE.

Cell: 4.4557 4.4557 4.4557 Å, 131.38 131.38 71.21°
Closest atoms and distances in Å follow each position.
Positions (direct):
Mn 0.0000 0.0000 0.0000  4 Mn 2.58, 4 W 2.58, 4 Ni 2.59
Mn 0.7500 0.2500 0.5000  4 Mn 2.58, 4 Ni 2.58, 4 W 2.59
Ni 0.5000 0.5000 0.0000  8 Mn 2.58-2.59, 4 W 2.58
W 0.2500 0.7500 0.5000  8 Mn 2.58-2.59, 4 Ni 2.58

Output
Calculated volume in Å³ per cell: 49

***

The energy of each structure relative to the most stable one, in eV/atom, is as follows: #one 0.031; #two 0.104; #three 0.548; #four 0.000.